Here is a relaxed HoTaMoO6 crystal from the Alexandria database. Energies are from PBE+U.

POSCAR file:
```
HoTaMoO6
1.0
5.415 0.000 0.000
-2.708 4.690 0.000
0.000 0.000 8.968
O Ho Mo Ta
12 2 2 2
Direct
0.343 0.038 0.128
0.038 0.344 0.628
0.306 0.344 0.872
0.657 0.962 0.872
0.962 0.306 0.128
0.306 0.962 0.628
0.343 0.306 0.372
0.962 0.656 0.372
0.694 0.656 0.128
0.657 0.694 0.628
0.694 0.038 0.372
0.038 0.694 0.872
0.667 0.333 0.750
0.333 0.667 0.250
0.000 0.000 0.000
0.000 0.000 0.500
0.667 0.333 0.250
0.333 0.667 0.750
```

## Properties
Uncorrected energy ... -8.502 eV/atom